DFT (PBE-GGA) results for an optimized crystal structure of Zn2AgPb2.

As for the offset from the most stable computed form: 15.5 kJ/mol of formula units. The calculation puts the density of states at the Fermi level at 2.0 states/eV per cell. Its space group is I4/mmm. As for the electronic total energy: -2.419 eV/atom.

```
data_Zn2AgPb2
_chemical_formula_sum 'Zn2 Ag1 Pb2'
_cell_length_a 3.5804
_cell_length_b 3.5804
_cell_length_c 9.5639
_cell_angle_alpha 79.21
_cell_angle_beta 79.21
_cell_angle_gamma 90.00
_symmetry_space_group_name_H-M 'P 1'
_symmetry_Int_Tables_number 1
loop_
_symmetry_equiv_pos_as_xyz
'x,y,z'
loop_
_atom_site_label
_atom_site_type_symbol
_atom_site_fract_x
_atom_site_fract_y
_atom_site_fract_z
Zn1 Zn 0.2500 0.7500 0.5000
Pb1 Pb 0.3967 0.3967 0.2065
Pb2 Pb 0.6033 0.6033 0.7935
Zn2 Zn 0.7500 0.2500 0.5000
Ag1 Ag 0.0000 0.0000 0.0000
```